Record 1
Material: SmEr3Mg3
Method: DFT, PBE
State: relaxed

- size of the total moment (Bohr magnetons per cell) = 0.0
- space group = P2_1/m
- density of states at the Fermi level (states/eV per cell) = 20.63
- energy relative to the elements (eV per atom) = 0.00

Unit cell a=9.098 b=5.493 c=9.103 alpha=90.00 beta=119.97 gamma=90.00
Fractional coordinates of all 14 atoms:
1 Sm 0.167 0.250 0.333
2 Sm 0.833 0.750 0.667
3 Er 0.261 0.750 0.800
4 Er 0.300 0.250 0.039
5 Er 0.460 0.250 0.761
6 Er 0.540 0.750 0.239
7 Er 0.700 0.750 0.961
8 Er 0.739 0.250 0.200
9 Mg 0.023 0.250 0.616
10 Mg 0.116 0.750 0.093
11 Mg 0.407 0.750 0.524
12 Mg 0.593 0.250 0.476
13 Mg 0.884 0.250 0.907
14 Mg 0.977 0.750 0.384

***

Record 2
Material: Te4Pb5Se
Method: DFT, PBE
State: relaxed

- size of the total moment (Bohr magnetons per cell) = 0.0
- uncorrected formation energy (meV per atom) = -425
- space group = I4/mmm

Unit cell a=16.517 b=16.517 c=16.517 alpha=164.01 beta=164.01 gamma=22.69
Fractional coordinates of all 10 atoms:
1 Te 0.100 0.100 0.000
2 Te 0.302 0.302 0.000
3 Te 0.698 0.698 0.000
4 Te 0.900 0.900 0.000
5 Pb 0.000 0.000 0.000
6 Pb 0.201 0.201 0.000
7 Pb 0.404 0.404 0.000
8 Pb 0.596 0.596 0.000
9 Pb 0.799 0.799 0.000
10 Se 0.500 0.500 0.000

***

Record 3
Material: Dy3ErPb4
Method: DFT, PBE
State: relaxed

- size of the total moment (Bohr magnetons per cell) = 0.0
- space group = Pmn2_1
- density of states at the Fermi level (states/eV per cell) = 10.07
- energy relative to the elements (eV per atom) = -0.44

Unit cell a=11.125 b=6.399 c=6.401 alpha=90.00 beta=90.00 gamma=90.00
Fractional coordinates of all 16 atoms:
1 Dy 0.000 0.001 0.000
2 Dy 0.250 0.251 0.250
3 Dy 0.250 0.749 0.750
4 Dy 0.500 0.999 0.500
5 Dy 0.750 0.251 0.250
6 Dy 0.750 0.749 0.750
7 Er 0.000 0.500 0.500
8 Er 0.500 0.500 0.000
9 Pb 0.000 0.000 0.500
10 Pb 0.000 0.501 0.000
11 Pb 0.250 0.249 0.750
12 Pb 0.250 0.751 0.250
13 Pb 0.500 0.000 0.000
14 Pb 0.500 0.499 0.500
15 Pb 0.750 0.249 0.750
16 Pb 0.750 0.751 0.250

***

Record 4
Material: LiLa2Mg
Method: DFT, PBE
State: relaxed

- size of the total moment (Bohr magnetons per cell) = 0.0
- space group = Pmmm
- density of states at the Fermi level (states/eV per cell) = 4.34
- energy relative to the elements (eV per atom) = 0.08
- energy above the lowest structure with this stoichiometry (meV per atom) = 82.1

Unit cell a=3.936 b=5.541 c=5.554 alpha=90.00 beta=90.00 gamma=90.00
Fractional coordinates of all 4 atoms:
1 Li 0.000 0.000 0.000
2 La 0.000 0.500 0.500
3 La 0.500 0.000 0.500
4 Mg 0.500 0.500 0.000

***

Record 5
Material: Zr2BiSb
Method: DFT, PBE
State: relaxed

- size of the total moment (Bohr magnetons per cell) = 0.0
- uncorrected formation energy (meV per atom) = -474
- space group = P2_1/c
- density of states at the Fermi level (states/eV per cell) = 10.84

Unit cell a=8.457 b=7.305 c=6.889 alpha=90.00 beta=90.01 gamma=90.00
Fractional coordinates of all 16 atoms:
1 Zr 0.113 0.244 0.499
2 Zr 0.113 0.256 0.999
3 Zr 0.359 0.744 0.000
4 Zr 0.359 0.756 0.500
5 Zr 0.641 0.244 0.500
6 Zr 0.641 0.256 0.000
7 Zr 0.887 0.744 0.001
8 Zr 0.887 0.756 0.501
9 Bi 0.377 0.090 0.245
10 Bi 0.377 0.410 0.745
11 Bi 0.623 0.590 0.255
12 Bi 0.623 0.910 0.755
13 Sb 0.124 0.577 0.255
14 Sb 0.124 0.923 0.755
15 Sb 0.876 0.077 0.245
16 Sb 0.876 0.423 0.745

***

Record 6
Material: CeNdSbSe
Method: DFT, PBE
State: relaxed

- size of the total moment (Bohr magnetons per cell) = 1.2
- uncorrected formation energy (meV per atom) = -1460
- space group = Pmmm
- density of states at the Fermi level (states/eV per cell) = 7.78

Unit cell a=4.378 b=4.395 c=6.217 alpha=90.00 beta=90.00 gamma=90.00
Fractional coordinates of all 4 atoms:
1 Ce 0.000 0.000 0.000
2 Nd 0.500 0.500 0.500
3 Sb 0.000 0.000 0.500
4 Se 0.500 0.500 0.000

***

Record 7
Material: TmNp2F11
Method: DFT, PBE
State: relaxed

- size of the total moment (Bohr magnetons per cell) = 12.0
- uncorrected formation energy (meV per atom) = -3651
- space group = Ibam
- density of states at the Fermi level (states/eV per cell) = 25.82

Unit cell a=8.578 b=8.578 c=8.578 alpha=121.30 beta=106.55 gamma=101.28
Fractional coordinates of all 28 atoms:
1 Tm 0.250 0.250 0.000
2 Tm 0.750 0.750 0.000
3 Np 0.182 0.654 0.836
4 Np 0.318 0.154 0.472
5 Np 0.682 0.846 0.528
6 Np 0.818 0.346 0.164
7 F 0.000 0.500 0.500
8 F 0.031 0.946 0.263
9 F 0.069 0.351 0.143
10 F 0.183 0.446 0.915
11 F 0.208 0.926 0.857
12 F 0.212 0.373 0.586
13 F 0.288 0.873 0.161
14 F 0.292 0.149 0.718
15 F 0.317 0.232 0.263
16 F 0.431 0.574 0.282
17 F 0.469 0.732 0.915
18 F 0.500 0.000 0.500
19 F 0.531 0.268 0.085
20 F 0.569 0.426 0.718
21 F 0.683 0.768 0.737
22 F 0.708 0.851 0.282
23 F 0.712 0.127 0.839
24 F 0.788 0.627 0.414
25 F 0.792 0.074 0.143
26 F 0.817 0.554 0.085
27 F 0.931 0.649 0.857
28 F 0.969 0.054 0.737

***

Record 8
Material: Nd12Ga5Sn
Method: DFT, PBE
State: relaxed

- size of the total moment (Bohr magnetons per cell) = 0.0
- space group = Immm
- density of states at the Fermi level (states/eV per cell) = 15.29
- energy relative to the elements (eV per atom) = -0.42

Unit cell a=8.907 b=8.907 c=8.907 alpha=112.48 beta=112.00 gamma=104.07
Fractional coordinates of all 18 atoms:
1 Nd 0.035 0.232 0.803
2 Nd 0.181 0.277 0.458
3 Nd 0.181 0.723 0.905
4 Nd 0.321 0.027 0.705
5 Nd 0.321 0.616 0.295
6 Nd 0.429 0.232 0.197
7 Nd 0.571 0.768 0.803
8 Nd 0.679 0.384 0.705
9 Nd 0.679 0.973 0.295
10 Nd 0.819 0.277 0.095
11 Nd 0.819 0.723 0.542
12 Nd 0.965 0.768 0.197
13 Ga 0.000 0.000 0.000
14 Ga 0.119 0.619 0.500
15 Ga 0.359 0.000 0.359
16 Ga 0.641 0.000 0.641
17 Ga 0.881 0.381 0.500
18 Sn 0.500 0.500 0.000

***

Record 9
Material: LiYbNbO3
Method: DFT, PBE
State: relaxed

- size of the total moment (Bohr magnetons per cell) = 0.0
- uncorrected formation energy (meV per atom) = -2066
- space group = Cm
- density of states at the Fermi level (states/eV per cell) = 2.77
- energy above the lowest structure with this stoichiometry (meV per atom) = 0.0

Unit cell a=4.269 b=4.269 c=4.265 alpha=99.28 beta=99.28 gamma=80.56
Fractional coordinates of all 6 atoms:
1 Li 0.000 0.000 0.000
2 Yb 0.658 0.658 0.341
3 Nb 0.292 0.292 0.709
4 O 0.289 0.289 0.211
5 O 0.290 0.790 0.711
6 O 0.790 0.290 0.711

***

Record 10
Material: SmAl6Cu3
Method: DFT, PBE
State: relaxed

- size of the total moment (Bohr magnetons per cell) = 0.0
- space group = P2_1/m
- density of states at the Fermi level (states/eV per cell) = 9.40
- energy relative to the elements (eV per atom) = -0.18

Unit cell a=8.902 b=4.042 c=9.815 alpha=90.00 beta=97.22 gamma=90.00
Fractional coordinates of all 20 atoms:
1 Sm 0.018 0.250 0.201
2 Sm 0.982 0.750 0.799
3 Al 0.101 0.750 0.465
4 Al 0.204 0.250 0.945
5 Al 0.209 0.250 0.674
6 Al 0.364 0.250 0.212
7 Al 0.413 0.750 0.575
8 Al 0.499 0.250 0.905
9 Al 0.501 0.750 0.095
10 Al 0.587 0.250 0.425
11 Al 0.636 0.750 0.788
12 Al 0.791 0.750 0.326
13 Al 0.796 0.750 0.055
14 Al 0.899 0.250 0.535
15 Cu 0.226 0.750 0.087
16 Cu 0.296 0.250 0.447
17 Cu 0.344 0.750 0.831
18 Cu 0.656 0.250 0.169
19 Cu 0.704 0.750 0.553
20 Cu 0.774 0.250 0.913

***

Record 11
Material: NpSn2Pt2
Method: DFT, PBE
State: relaxed

- size of the total moment (Bohr magnetons per cell) = 7.5
- space group = P2_1/m
- density of states at the Fermi level (states/eV per cell) = 14.76
- energy relative to the elements (eV per atom) = -0.46

Unit cell a=4.913 b=4.605 c=10.188 alpha=90.00 beta=93.90 gamma=90.00
Fractional coordinates of all 10 atoms:
1 Np 0.205 0.250 0.161
2 Np 0.795 0.750 0.839
3 Sn 0.249 0.250 0.498
4 Sn 0.281 0.250 0.808
5 Sn 0.719 0.750 0.192
6 Sn 0.751 0.750 0.502
7 Pt 0.239 0.750 0.342
8 Pt 0.308 0.750 0.964
9 Pt 0.692 0.250 0.036
10 Pt 0.761 0.250 0.658

***

Record 12
Material: SmMg6Tl6
Method: DFT, PBE
State: relaxed

- size of the total moment (Bohr magnetons per cell) = 0.0
- space group = Immm
- density of states at the Fermi level (states/eV per cell) = 5.60
- energy relative to the elements (eV per atom) = -0.09

Unit cell a=7.937 b=7.937 c=7.937 alpha=134.35 beta=103.68 gamma=93.70
Fractional coordinates of all 13 atoms:
1 Sm 0.000 0.000 0.000
2 Mg 0.000 0.000 0.500
3 Mg 0.000 0.500 0.000
4 Mg 0.245 0.500 0.745
5 Mg 0.500 0.000 0.000
6 Mg 0.500 0.500 0.500
7 Mg 0.755 0.500 0.255
8 Tl 0.164 0.664 0.500
9 Tl 0.336 0.336 0.000
10 Tl 0.342 0.000 0.342
11 Tl 0.658 0.000 0.658
12 Tl 0.664 0.664 0.000
13 Tl 0.836 0.336 0.500